DFT (PBE) results for crystalline CaMg2HAu at its relaxed geometry.

Structure (extended XYZ):
```
5
Lattice="4.430 0.000 0.000 0.000 4.430 0.000 0.000 0.000 4.594" Properties=species:S:1:pos:R:3 pbc="T T T"
H 0.000 0.000 0.000
Ca 0.000 0.000 2.297
Au 2.215 2.215 2.297
Mg 0.000 2.215 0.000
Mg 2.215 0.000 0.000
```

## Properties
* VASP energy: -2.70 eV/atom
* D(E_F): 1.50 states/eV/f.u.
* symmetry: P4/mmm